This record from Alexandria describes a geometry-optimized Zr2TaIrN structure. The functional is PBE.

a = 4.4681 Å, b = 4.4681 Å, c = 4.1349 Å
α = 90.00°, β = 90.00°, γ = 90.00°
Closest atoms and distances in Å follow each position.
Atoms (fractional coordinates):
Zr  0.0000  0.5000  0.0000  2 N 2.23
Zr  0.5000  0.0000  0.0000  2 N 2.23
Ta  0.0000  0.0000  0.5000  2 N 2.07
Ir  0.5000  0.5000  0.5000  8 Zr 3.04, 4 Ta 3.16
N  0.0000  0.0000  0.0000  2 Ta 2.07, 4 Zr 2.23

Output
**Uncorrected formation energy**: -0.83 eV/atom
**Space group**: P4/mmm

***

This record from Alexandria describes a geometry-optimized YMnTl2 structure. The functional is PBE.

a = 9.4650 Å, b = 9.4650 Å, c = 9.4650 Å
α = 21.62°, β = 21.62°, γ = 21.62°
Closest atoms and distances in Å follow each position.
Atoms (fractional coordinates):
Y  0.0000  0.0000  0.0000  6 Tl 3.28, 6 Y 3.55
Mn  0.5000  0.5000  0.5000  6 Tl 2.91
Tl  0.2411  0.2411  0.2411  3 Mn 2.91
Tl  0.7589  0.7589  0.7589  3 Mn 2.91

Output
**Space group**: R-3m

***

This record from Alexandria describes a geometry-optimized KHoMnBr6 structure. The functional is PBE.

a = 6.8629 Å, b = 6.8629 Å, c = 14.9567 Å
α = 90.00°, β = 90.00°, γ = 120.00°
Closest atoms and distances in Å follow each position.
Atoms (fractional coordinates):
K  0.0000  0.0000  0.0000  6 Br 3.35
K  0.0000  0.0000  0.5000  6 Br 3.35
Ho  0.3333  0.6667  0.2500  6 Br 2.79
Ho  0.6667  0.3333  0.7500  6 Br 2.79
Mn  0.3333  0.6667  0.7500  6 Br 2.54
Mn  0.6667  0.3333  0.2500  6 Br 2.54
Br  0.0293  0.3802  0.6483  1 Mn 2.54, 1 Ho 2.79
Br  0.0293  0.6491  0.8517  1 Mn 2.54, 1 Ho 2.79
Br  0.3509  0.3802  0.8517  1 Mn 2.54, 1 Ho 2.79
Br  0.3509  0.9707  0.6483  1 Mn 2.54, 1 Ho 2.79
Br  0.3802  0.0293  0.1483  1 Mn 2.54, 1 Ho 2.79
Br  0.3802  0.3509  0.3517  1 Mn 2.54, 1 Ho 2.79
Br  0.6198  0.6491  0.6483  1 Mn 2.54, 1 Ho 2.79
Br  0.6198  0.9707  0.8517  1 Mn 2.54, 1 Ho 2.79
Br  0.6491  0.0293  0.3517  1 Mn 2.54, 1 Ho 2.79
Br  0.6491  0.6198  0.1483  1 Mn 2.54, 1 Ho 2.79
Br  0.9707  0.3509  0.1483  1 Mn 2.54, 1 Ho 2.79
Br  0.9707  0.6198  0.3517  1 Mn 2.54, 1 Ho 2.79

Output
**Uncorrected formation energy**: -1.22 eV/atom
**Space group**: P-31c

***

This record from Alexandria describes a geometry-optimized TaCuTe2 structure. The functional is PBE.

a = 3.2880 Å, b = 3.2880 Å, c = 8.5199 Å
α = 90.00°, β = 90.00°, γ = 111.44°
Closest atoms and distances in Å follow each position.
Atoms (fractional coordinates):
Ta  0.0000  0.0000  0.0000  4 Te 2.85
Cu  0.0000  0.0000  0.5000  4 Te 2.79
Te  0.5000  0.5000  0.2544  2 Cu 2.79, 2 Ta 2.85
Te  0.5000  0.5000  0.7456  2 Cu 2.79, 2 Ta 2.85

Output
**Uncorrected formation energy**: 0.45 eV/atom
**Space group**: Cmmm

***

This record from Alexandria describes a geometry-optimized SrBiI2 structure. The functional is PBE.

a = 5.8822 Å, b = 5.8822 Å, c = 5.8822 Å
α = 60.00°, β = 60.00°, γ = 60.00°
Closest atoms and distances in Å follow each position.
Atoms (fractional coordinates):
Sr  0.0000  0.0000  0.0000  8 I 3.60
Bi  0.5000  0.5000  0.5000  8 I 3.60
I  0.2500  0.2500  0.2500  4 Bi 3.60, 4 Sr 3.60
I  0.7500  0.7500  0.7500  4 Bi 3.60, 4 Sr 3.60

Output
**Uncorrected formation energy**: -0.57 eV/atom
**Space group**: Fm-3m

***

This record from Alexandria describes a geometry-optimized TiReHRu2 structure. The functional is PBE.

a = 3.9326 Å, b = 3.9326 Å, c = 3.9264 Å
α = 90.00°, β = 90.00°, γ = 90.00°
Closest atoms and distances in Å follow each position.
Atoms (fractional coordinates):
Ti  0.0000  0.0000  0.0000  8 Ru 2.78, 4 Re 2.78
Re  0.5000  0.5000  0.0000  2 H 1.96
H  0.5000  0.5000  0.5000  2 Re 1.96, 4 Ru 1.97
Ru  0.0000  0.5000  0.5000  2 H 1.97
Ru  0.5000  0.0000  0.5000  2 H 1.97

Output
**Space group**: P4/mmm

***

| no. | electronic total energy (eV per cell) |
| --- | --- |
| 1 | -50.30 |
| 2 | -19.69 |
| 3 | -71.81 |
| 4 | -20.42 |
| 5 | -10.93 |
| 6 | -42.69 |